Arrangement one

Density functional theory data (PBE-GGA) for crystalline Hg3AsO at its relaxed geometry.

a = 4.7705 Å, b = 4.7705 Å, c = 4.7705 Å
α = 90.00°, β = 90.00°, γ = 90.00°
Fractional coordinates of all 5 atoms:
Hg  0.0000  0.0000  0.5000
Hg  0.0000  0.5000  0.0000
Hg  0.5000  0.0000  0.0000
As  0.5000  0.5000  0.5000
O  0.0000  0.0000  0.0000

Arrangement two

Density functional theory data (PBE-GGA) for crystalline Hg3AsO at its relaxed geometry.

a = 5.3155 Å, b = 5.3155 Å, c = 5.3155 Å
α = 90.00°, β = 90.00°, γ = 90.00°
Fractional coordinates of all 5 atoms:
Hg  0.0000  0.0000  0.5000
Hg  0.0000  0.5000  0.0000
Hg  0.5000  0.0000  0.0000
As  0.0000  0.0000  0.0000
O  0.5000  0.5000  0.5000

It is arrangement one that is the most stable of them.

Arrangement one

Density functional theory data (PBE-GGA) for crystalline HgAsO4 at its relaxed geometry.

a = 5.5332 Å, b = 6.1054 Å, c = 4.7263 Å
α = 90.00°, β = 90.00°, γ = 90.00°
Fractional coordinates of all 12 atoms:
Hg  0.2500  0.2500  0.0000
Hg  0.7500  0.7500  0.0000
As  0.2500  0.7500  0.5000
As  0.7500  0.2500  0.5000
O  0.0737  0.5931  0.2740
O  0.0737  0.9069  0.7260
O  0.4263  0.5931  0.7260
O  0.4263  0.9069  0.2740
O  0.5737  0.0931  0.7260
O  0.5737  0.4069  0.2740
O  0.9263  0.0931  0.2740
O  0.9263  0.4069  0.7260

Arrangement two

Density functional theory data (PBE-GGA) for crystalline HgAsO4 at its relaxed geometry.

a = 4.9594 Å, b = 9.8699 Å, c = 8.9898 Å
α = 90.00°, β = 123.19°, γ = 90.00°
Fractional coordinates of all 24 atoms:
Hg  0.2108  0.0005  0.2613
Hg  0.2108  0.4995  0.7613
Hg  0.7892  0.5005  0.2387
Hg  0.7892  0.9995  0.7387
As  0.0866  0.6919  0.0476
As  0.0866  0.8081  0.5476
As  0.9134  0.1919  0.4524
As  0.9134  0.3081  0.9524
O  0.0034  0.6597  0.8370
O  0.0034  0.8403  0.3370
O  0.1179  0.6324  0.5461
O  0.1179  0.8676  0.0461
O  0.2602  0.1364  0.4646
O  0.2602  0.3636  0.9646
O  0.4059  0.6194  0.2362
O  0.4059  0.8806  0.7362
O  0.5941  0.1194  0.2638
O  0.5941  0.3806  0.7638
O  0.7398  0.6364  0.0354
O  0.7398  0.8636  0.5354
O  0.8821  0.1324  0.9539
O  0.8821  0.3676  0.4539
O  0.9966  0.1597  0.6630
O  0.9966  0.3403  0.1630

It is arrangement two that is the most stable of them.

Arrangement one

Density functional theory data (PBE-GGA) for crystalline HgAsPO2 at its relaxed geometry.

a = 3.7582 Å, b = 3.7582 Å, c = 5.1398 Å
α = 90.00°, β = 90.00°, γ = 90.00°
Fractional coordinates of all 5 atoms:
Hg  0.0000  0.0000  0.0000
As  0.5000  0.5000  0.5000
P  0.5000  0.5000  0.0000
O  0.0000  0.5000  0.5000
O  0.5000  0.0000  0.5000

Arrangement two

Density functional theory data (PBE-GGA) for crystalline HgAsPO2 at its relaxed geometry.

a = 4.1145 Å, b = 4.1145 Å, c = 5.1295 Å
α = 90.00°, β = 90.00°, γ = 90.00°
Fractional coordinates of all 5 atoms:
Hg  0.0000  0.0000  0.0000
As  0.5000  0.5000  0.5000
P  0.0000  0.0000  0.5000
O  0.0000  0.5000  0.0000
O  0.5000  0.0000  0.0000

It is arrangement one that is the most stable of them.

Arrangement one

Density functional theory data (PBE-GGA) for crystalline Hg2AsP at its relaxed geometry.

a = 5.2908 Å, b = 5.2908 Å, c = 5.2908 Å
α = 137.40°, β = 116.24°, γ = 79.74°
Fractional coordinates of all 4 atoms:
Hg  0.2398  0.2398  0.0000
Hg  0.7602  0.7602  0.0000
As  0.5000  0.0000  0.5000
P  0.0000  0.5000  0.5000

Arrangement two

Density functional theory data (PBE-GGA) for crystalline Hg2AsP at its relaxed geometry.

a = 3.1576 Å, b = 3.1576 Å, c = 10.1445 Å
α = 90.00°, β = 90.00°, γ = 90.00°
Fractional coordinates of all 4 atoms:
Hg  0.0000  0.0000  0.0000
Hg  0.5000  0.5000  0.3115
As  0.5000  0.5000  0.7046
P  0.0000  0.0000  0.5903

Arrangement three

Density functional theory data (PBE-GGA) for crystalline Hg2AsP at its relaxed geometry.

a = 4.2282 Å, b = 4.2282 Å, c = 7.5961 Å
α = 93.26°, β = 93.26°, γ = 47.74°
Fractional coordinates of all 4 atoms:
Hg  0.0000  0.0000  0.0000
Hg  0.2318  0.2318  0.7164
As  0.7921  0.7921  0.2888
P  0.4382  0.4382  0.4449

Arrangement four

Density functional theory data (PBE-GGA) for crystalline Hg2AsP at its relaxed geometry.

a = 3.8593 Å, b = 4.0540 Å, c = 5.5850 Å
α = 90.00°, β = 90.00°, γ = 90.00°
Fractional coordinates of all 4 atoms:
Hg  0.0000  0.0000  0.0000
Hg  0.5000  0.0000  0.5000
As  0.0000  0.5000  0.5000
P  0.5000  0.5000  0.0000

It is arrangement three that is the most stable of them.